# 1
The following is a PBE calculation of SmDy2YHo after structural relaxation, from Alexandria via LeMat-Bulk.

Results
mass density: 7.01 g/cm3
space group: No. 63
E_form: 0.39 eV/atom
density of states at the Fermi level: 7.22 states/eV/f.u.
total magnetization: 0.00 μB/atom

Geometry as extended XYZ:
```
10
Lattice="7.1905 0.0000 0.0000 0.0000 8.3634 0.0000 0.0000 -4.1817 5.7408" Properties=species:S:1:pos:R:3 pbc="T T T"
Dy 3.5953 2.5850 0.0000
Y 5.3929 4.1817 2.6581
Ho 5.3929 0.0000 0.1379
Ho 1.7976 4.1817 5.6029
Sm 1.7976 4.1817 2.5279
Dy 0.0000 2.5850 0.0000
Y 1.7976 0.0000 3.0827
Dy 3.5953 5.7784 0.0000
Dy 0.0000 5.7784 0.0000
Sm 5.3929 0.0000 3.2129
```


# 2
The following is a PBE calculation of BaY2CoH after structural relaxation, from Alexandria via LeMat-Bulk.

Results
mass density: 5.30 g/cm3
space group: No. 123
E_tot: -4.7354 eV/atom
density of states at the Fermi level: 4.75 states/eV/f.u.
total magnetization: 0.00 μB/atom

Geometry as extended XYZ:
```
5
Lattice="4.6823 0.0000 0.0000 0.0000 5.3629 0.0000 0.0000 0.0000 4.6823" Properties=species:S:1:pos:R:3 pbc="T T T"
H 0.0000 0.0000 0.0000
Y 2.3412 0.0000 0.0000
Y 0.0000 0.0000 2.3412
Ba 0.0000 2.6814 0.0000
Co 2.3412 2.6814 2.3412
```


# 3
The following is a PBE calculation of PmY5Cd after structural relaxation, from Alexandria via LeMat-Bulk.

Results
mass density: 5.21 g/cm3
space group: No. 15
E_form: 0.11 eV/atom
density of states at the Fermi level: 10.78 states/eV/f.u.
total magnetization: 0.00 μB/atom

Geometry as extended XYZ:
```
14
Lattice="-5.7792 3.4192 0.6974 -5.9690 -3.0418 0.8344 -3.1758 0.3518 12.1902" Properties=species:S:1:pos:R:3 pbc="T T T"
Y -8.2094 2.0380 9.8749
Y -11.1405 0.3233 9.5794
Y -4.0434 0.3044 0.8588
Y -5.3835 0.1684 10.2465
Y -9.2829 0.5834 6.7610
Y -9.5405 0.5608 3.4755
Y -5.6411 0.1458 6.9610
Y -10.8806 0.4249 12.8632
Y -6.7146 -1.3088 3.8471
Pm -8.3081 -1.3217 9.9462
Pm -6.6160 2.0510 3.7758
Cd 0.0000 0.0000 0.0000
Cd -1.5879 0.1759 6.0951
Y -3.7835 0.4059 4.1426
```


# 4
The following is a PBE calculation of BeNi3Ge after structural relaxation, from Alexandria via LeMat-Bulk.

Results
mass density: 7.27 g/cm3
space group: No. 221
E_form: 0.17 eV/atom
relative energy among the computed polymorphs: 278 meV/atom
density of states at the Fermi level: 3.91 states/eV/f.u.
total magnetization: 0.00 μB/atom

Geometry as extended XYZ:
```
5
Lattice="-0.7580 -1.5710 -3.4763 -0.0461 -3.5402 1.6099 -3.8145 0.3549 0.6713" Properties=species:S:1:pos:R:3 pbc="T T T"
Ni -0.3790 -0.7855 -1.7381
Ni -1.9072 0.1775 0.3357
Ge -2.3093 -2.3781 -0.5975
Ni -0.0230 -1.7701 0.8050
Be 0.0000 0.0000 0.0000
```


# 5
The following is a PBE calculation of NdThBi2N after structural relaxation, from Alexandria via LeMat-Bulk.

Results
mass density: 9.82 g/cm3
space group: No. 129
formation energy from raw total energies: -0.89 eV/atom
density of states at the Fermi level: 2.47 states/eV/f.u.
total magnetization: 0.00 μB/atom

Geometry as extended XYZ:
```
10
Lattice="4.2496 0.0000 0.0000 0.0000 4.2496 0.0000 0.0000 0.0000 15.1304" Properties=species:S:1:pos:R:3 pbc="T T T"
Th 0.0000 2.1248 6.4913
N 0.0000 0.0000 7.5652
N 2.1248 2.1248 7.5652
Th 2.1248 0.0000 8.6391
Nd 2.1248 0.0000 0.9485
Nd 0.0000 2.1248 14.1818
Bi 0.0000 2.1248 2.3750
Bi 0.0000 2.1248 10.9000
Bi 2.1248 0.0000 12.7554
Bi 2.1248 0.0000 4.2304
```


# 6
The following is a PBE calculation of Ac8Sm3Er2 after structural relaxation, from Alexandria via LeMat-Bulk.

Results
mass density: 8.13 g/cm3
space group: No. 12
E_form: 0.22 eV/atom
density of states at the Fermi level: 20.28 states/eV/f.u.
total magnetization: 0.00 μB/atom

Geometry as extended XYZ:
```
13
Lattice="-3.1570 5.7399 -1.7767 -6.3930 -4.0166 -1.6144 -7.2403 0.7868 8.2558" Properties=species:S:1:pos:R:3 pbc="T T T"
Er -11.2930 2.2160 2.2865
Ac -12.6616 3.2896 5.0365
Ac -8.3688 -1.8814 0.8992
Ac -11.6133 -1.4020 3.6646
Ac -8.2559 1.9781 0.4230
Ac -8.5345 0.5321 4.4416
Ac -4.1287 -0.7795 -0.1718
Sm 0.0000 0.0000 0.0000
Ac -5.1771 3.9122 1.2001
Ac -8.4215 4.3915 3.9655
Er -5.4973 0.2941 2.5781
Sm -6.6678 -0.3272 -2.1733
Sm -10.1225 2.8374 7.0380
```


# 7
The following is a PBE calculation of Nd2PuH after structural relaxation, from Alexandria via LeMat-Bulk.

Results
mass density: 8.72 g/cm3
space group: No. 166
relative energy among the computed polymorphs: 0 meV/atom
density of states at the Fermi level: 11.22 states/eV/f.u.
total magnetization: 1.58 μB/atom

Geometry as extended XYZ:
```
4
Lattice="-0.4072 -3.3710 0.9095 2.7172 -2.2196 -0.2171 3.2104 0.2506 9.1590" Properties=species:S:1:pos:R:3 pbc="T T T"
Nd 3.1538 -4.8597 3.7795
H 2.7602 -2.6700 4.9257
Nd 2.3666 -0.4804 6.0720
Pu 0.0000 0.0000 0.0000
```


# 8
The following is a PBE calculation of TlTcAs after structural relaxation, from Alexandria via LeMat-Bulk.

Results
mass density: 8.59 g/cm3
space group: No. 129
E_form: -0.01 eV/atom
relative energy among the computed polymorphs: 0 meV/atom
density of states at the Fermi level: 2.26 states/eV/f.u.
total magnetization: 0.03 μB/atom

Geometry as extended XYZ:
```
6
Lattice="-3.8766 -0.7946 0.7192 0.8561 -0.6716 3.8721 -1.4454 8.7079 1.8300" Properties=species:S:1:pos:R:3 pbc="T T T"
As -2.9044 5.4232 1.5828
Tl -2.1839 1.0820 0.6705
Tl -0.7718 6.8927 3.4551
As -0.0513 2.5516 2.5428
Tc -0.7227 4.3539 0.9150
Tc -2.2330 3.6208 3.2106
```


# 9
The following is a PBE calculation of CaLaAl after structural relaxation, from Alexandria via LeMat-Bulk.

Results
mass density: 3.16 g/cm3
space group: No. 12
E_form: -0.14 eV/atom
relative energy among the computed polymorphs: 145 meV/atom
density of states at the Fermi level: 3.81 states/eV/f.u.
total magnetization: 0.04 μB/atom

Geometry as extended XYZ:
```
6
Lattice="4.3040 0.0005 0.0330 2.1520 3.7281 0.0222 -0.0979 -0.0245 13.4854" Properties=species:S:1:pos:R:3 pbc="T T T"
La 5.3630 1.8616 2.2180
Al 3.1311 3.0826 13.3927
Ca 3.1876 0.6140 5.2930
La 0.9952 1.8425 11.3227
Al 3.2270 0.6215 0.1480
Ca 3.1705 3.0901 8.2476
```


# 10
The following is a PBE calculation of V3CdSn after structural relaxation, from Alexandria via LeMat-Bulk.

Results
mass density: 4.78 g/cm3
space group: No. 221
E_form: 1.39 eV/atom
relative energy among the computed polymorphs: 0 meV/atom
density of states at the Fermi level: 11.07 states/eV/f.u.
total magnetization: 1.97 μB/atom

Geometry as extended XYZ:
```
5
Lattice="-3.3569 3.3670 -1.8711 -3.2325 -1.1127 3.7972 2.0949 3.6785 2.8612" Properties=species:S:1:pos:R:3 pbc="T T T"
V 1.0474 1.8393 1.4306
V -1.6784 1.6835 -0.9355
Sn 0.0000 0.0000 0.0000
V -1.6163 -0.5563 1.8986
Cd -2.2473 2.9664 2.3937
```


# 11
The following is a PBE calculation of Li12TlAg2 after structural relaxation, from Alexandria via LeMat-Bulk.

Results
mass density: 2.79 g/cm3
space group: No. 125
E_form: 0.05 eV/atom
density of states at the Fermi level: 5.02 states/eV/f.u.
total magnetization: 0.00 μB/atom

Geometry as extended XYZ:
```
30
Lattice="-2.3836 -3.9026 2.8337 4.7106 -2.5619 0.4342 3.9759 10.2757 17.4959" Properties=species:S:1:pos:R:3 pbc="T T T"
Li 2.9375 5.6010 17.8447
Li 4.3162 4.9160 15.5075
Li 1.9867 -1.1048 5.2563
Li 2.7825 2.9804 8.3426
Li 2.3569 4.0631 10.7873
Li 5.2929 4.3202 18.0617
Li -0.1817 -2.4601 4.1189
Li 3.3655 -1.7901 2.9193
Li 2.4669 0.1364 7.3695
Tl -1.1918 -1.9513 1.4169
Li 0.9857 1.3581 9.7037
Li 4.8317 1.1983 8.9236
Li 3.8360 3.6749 13.3944
Li 1.0103 -0.5089 2.7020
Li 0.8232 2.1275 3.6223
Li 5.0183 3.2833 10.6404
Ag 3.2342 0.9904 4.0844
Li 4.1291 7.5524 16.4279
Ag -0.3130 0.3201 5.2842
Li 6.4845 6.2716 16.6448
Li 1.3034 3.3686 5.7355
Ag 1.9052 6.0531 15.0455
Tl 2.3553 -1.2809 0.2171
Li 2.1735 -3.7412 4.3361
Li 2.6725 6.9071 11.7604
Li 1.7701 1.7828 12.2599
Li 4.4315 1.0030 12.1131
Li 3.1527 8.1482 13.8736
Ag 5.4524 6.7234 13.8457
Li 3.0349 -0.4240 10.2847
```


# 12
The following is a PBE calculation of TaTlAu after structural relaxation, from Alexandria via LeMat-Bulk.

Results
mass density: 15.79 g/cm3
space group: No. 156
E_form: 0.33 eV/atom
density of states at the Fermi level: 2.30 states/eV/f.u.
total magnetization: 0.00 μB/atom

Geometry as extended XYZ:
```
3
Lattice="-0.3645 -2.7774 1.3359 1.0017 0.1926 -2.9310 6.9388 0.2375 2.3871" Properties=species:S:1:pos:R:3 pbc="T T T"
Ta 2.7436 -0.7222 -0.7528
Au 0.1254 0.0043 0.0431
Tl 4.7070 -1.6294 1.5016
```


Which of these has the highest total magnetization?
V3CdSn


What is the density of states at the Fermi level in the sixth record?
20.28 states/eV/f.u.


Copy entry 8 word for word.
The following is a PBE calculation of TlTcAs after structural relaxation, from Alexandria via LeMat-Bulk.

Results
mass density: 8.59 g/cm3
space group: No. 129
E_form: -0.01 eV/atom
relative energy among the computed polymorphs: 0 meV/atom
density of states at the Fermi level: 2.26 states/eV/f.u.
total magnetization: 0.03 μB/atom

Geometry as extended XYZ:
```
6
Lattice="-3.8766 -0.7946 0.7192 0.8561 -0.6716 3.8721 -1.4454 8.7079 1.8300" Properties=species:S:1:pos:R:3 pbc="T T T"
As -2.9044 5.4232 1.5828
Tl -2.1839 1.0820 0.6705
Tl -0.7718 6.8927 3.4551
As -0.0513 2.5516 2.5428
Tc -0.7227 4.3539 0.9150
Tc -2.2330 3.6208 3.2106
```


Which of these has the highest mass density?
TaTlAu